No. 1
Material: LiCaPm2Au4
Method: DFT, PBE-GGA
State: relaxed

The structure belongs to space group R-3m (No. 166, hexagonal axes); the cell edges are 5.0834, 5.0834 and 24.7816 Å and the angles 90.00°, 90.00° and 120.00°. Symmetry generates all atoms from Li at (0.0000, 0.0000, 0.0000), Ca at (0.0000, 0.0000, 0.5000), Pm at (0.0000, 0.0000, 0.2544), Au at (0.0000, 0.0000, 0.1240) and Au at (0.0000, 0.0000, 0.3762).

For the formation energy, the calculation gives -0.74 eV per atom. Its crystal system is trigonal.

---

No. 2
Material: NaNp2Ag3S6
Method: DFT, PBE-GGA
State: relaxed

The structure belongs to space group C2/m (No. 12); the cell edges are 15.808, 4.051 and 8.292 Å and the angles 90.00°, 99.82° and 90.00°. Symmetry generates all atoms from Na at (0.000, 0.000, 0.000), Np at (0.161, 0.500, 0.332), Ag at (0.000, 0.000, 0.500), Ag at (0.157, 0.500, 0.892), S at (0.004, 0.500, 0.746), S at (0.168, 0.000, 0.550) and S at (0.181, 0.000, 0.122).

Its crystal system is monoclinic. The formation energy (no corrections) is -77 kJ per mole of atoms.

---

No. 3
Material: Ac2La2DyY
Method: DFT, PBE-GGA
State: relaxed

The structure belongs to space group Pmc2_1 (No. 26); the cell edges are 5.943, 10.294 and 7.397 Å and the angles 90.00°, 90.00° and 90.00°. Symmetry generates all atoms from Ac at (0.000, 0.000, 0.000), Ac at (0.500, 0.171, 0.250), La at (0.000, 0.350, 0.250), La at (0.500, 0.178, 0.750), Dy at (0.000, 0.334, 0.749) and Y at (0.500, 0.500, 0.000).

For the formation energy, the calculation gives 0.08 eV per atom. Its crystal system is orthorhombic.

---

No. 4
Material: Zr2Cu4Pd3
Method: DFT, PBE-GGA
State: relaxed

The structure belongs to space group C2/m (No. 12); the cell edges are 8.936, 3.897 and 8.420 Å and the angles 90.00°, 109.62° and 90.00°. Symmetry generates all atoms from Zr at (0.169, 0.000, 0.227), Cu at (0.001, 0.500, 0.664), Cu at (0.166, 0.000, 0.891), Pd at (0.000, 0.500, 0.000) and Pd at (0.165, 0.000, 0.563).

For the formation energy, the calculation gives -0.38 eV per atom. Its crystal system is monoclinic.

---

No. 5
Material: LuMnSnRu
Method: DFT, PBE-GGA
State: relaxed

The structure belongs to space group F-43m (No. 216); the cell edges are 6.598, 6.598 and 6.598 Å and the angles 90.00°, 90.00° and 90.00°. Symmetry generates all atoms from Lu at (0.000, 0.000, 0.000), Mn at (0.250, 0.250, 0.250), Sn at (0.000, 0.000, 0.500) and Ru at (0.250, 0.250, 0.750).

For the formation energy, the calculation gives -0.23 eV per atom. Its crystal system is cubic.

---

No. 6
Material: SiIr
Method: DFT, PBE-GGA
State: relaxed

The structure belongs to space group C2/m (No. 12); the cell edges are 11.610, 2.850 and 5.201 Å and the angles 90.00°, 106.59° and 90.00°. Symmetry generates all atoms from Si at (0.000, 0.000, 0.000), Si at (0.166, 0.500, 0.789), Ir at (0.000, 0.000, 0.500) and Ir at (0.166, 0.500, 0.261).

Its crystal system is monoclinic. The formation energy (no corrections) is -50 kJ per mole of atoms.

---

Copy entry 5 word for word.
Material: LuMnSnRu
Method: DFT, PBE-GGA
State: relaxed

The structure belongs to space group F-43m (No. 216); the cell edges are 6.598, 6.598 and 6.598 Å and the angles 90.00°, 90.00° and 90.00°. Symmetry generates all atoms from Lu at (0.000, 0.000, 0.000), Mn at (0.250, 0.250, 0.250), Sn at (0.000, 0.000, 0.500) and Ru at (0.250, 0.250, 0.750).

For the formation energy, the calculation gives -0.23 eV per atom. Its crystal system is cubic.

---

Please write out number 2 again, unchanged.
Material: NaNp2Ag3S6
Method: DFT, PBE-GGA
State: relaxed

The structure belongs to space group C2/m (No. 12); the cell edges are 15.808, 4.051 and 8.292 Å and the angles 90.00°, 99.82° and 90.00°. Symmetry generates all atoms from Na at (0.000, 0.000, 0.000), Np at (0.161, 0.500, 0.332), Ag at (0.000, 0.000, 0.500), Ag at (0.157, 0.500, 0.892), S at (0.004, 0.500, 0.746), S at (0.168, 0.000, 0.550) and S at (0.181, 0.000, 0.122).

Its crystal system is monoclinic. The formation energy (no corrections) is -77 kJ per mole of atoms.

---

Please write out number 6 again, unchanged.
Material: SiIr
Method: DFT, PBE-GGA
State: relaxed

The structure belongs to space group C2/m (No. 12); the cell edges are 11.610, 2.850 and 5.201 Å and the angles 90.00°, 106.59° and 90.00°. Symmetry generates all atoms from Si at (0.000, 0.000, 0.000), Si at (0.166, 0.500, 0.789), Ir at (0.000, 0.000, 0.500) and Ir at (0.166, 0.500, 0.261).

Its crystal system is monoclinic. The formation energy (no corrections) is -50 kJ per mole of atoms.